A relaxed structure of LaPm2Nd3Te6, computed with PBE.

Properties
SG = C2/m (12)
formation energy (no corrections) = -17.37 eV/f.u.
energy = -5.41 eV per atom
D(E_F) = 6.64 states/eV/f.u.
mass density = 7.0 g/cm3

Geometry as extended XYZ:
```
12
Lattice="9.801 -2.245 0.000 9.801 2.245 0.000 -2.060 0.000 8.798" Properties=species:S:1:pos:R:3 pbc="T T T"
La 0.000 0.000 0.000
Pm 5.145 0.000 5.858
Pm 12.397 0.000 2.940
Nd -1.030 0.000 4.399
Nd 6.213 0.000 1.485
Nd 11.329 0.000 7.313
Te 2.076 0.000 5.114
Te 3.128 0.000 0.752
Te 8.230 0.000 6.564
Te 9.311 0.000 2.234
Te 14.413 0.000 8.046
Te 15.466 0.000 3.684
```

=====

A relaxed structure of As5Pt, computed with PBE.

Properties
SG = F-43m (216)
E_form = 688 meV/atom
energy = -4.19 eV per atom
D(E_F) = 5.01 states/eV/f.u.
mass density = 8.1 g/cm3

Geometry as extended XYZ:
```
6
Lattice="0.000 3.873 3.873 3.873 0.000 3.873 3.873 3.873 0.000" Properties=species:S:1:pos:R:3 pbc="T T T"
As 0.000 0.000 0.000
As 4.834 2.911 2.911
As 2.911 4.834 2.911
As 2.911 2.911 4.834
As 4.834 4.834 4.834
Pt 1.936 1.936 1.936
```

=====

A relaxed structure of ErZrAs2Rh5, computed with PBE.

Properties
SG = P4/mmm (123)
E_form = -645 meV/atom
energy = -7.22 eV per atom
D(E_F) = 6.72 states/eV/f.u.
mass density = 10.1 g/cm3

Geometry as extended XYZ:
```
9
Lattice="4.163 0.000 0.000 0.000 4.163 0.000 0.000 0.000 8.751" Properties=species:S:1:pos:R:3 pbc="T T T"
Er 0.000 0.000 0.000
Zr 0.000 0.000 4.375
As 2.082 2.082 3.164
As 2.082 2.082 5.586
Rh 0.000 2.082 2.055
Rh 0.000 2.082 6.696
Rh 2.082 0.000 2.055
Rh 2.082 0.000 6.696
Rh 2.082 2.082 0.000
```

=====

A relaxed structure of CrInFe2, computed with PBE.

Properties
SG = R-3m (166)
E_form = 467 meV/atom
energy = -6.85 eV per atom
D(E_F) = 3.64 states/eV/f.u.
mass density = 8.2 g/cm3

Geometry as extended XYZ:
```
4
Lattice="1.422 0.821 8.063 -1.422 0.821 8.063 0.000 -1.642 8.063" Properties=species:S:1:pos:R:3 pbc="T T T"
Cr 0.000 0.000 0.000
In 0.000 0.000 12.095
Fe 0.000 0.000 6.316
Fe 0.000 0.000 17.874
```